First-principles (PBE-GGA) data for an optimized crystal structure of LaOsPt, as listed in Alexandria via LeMat-Bulk.

Computed properties:
E_tot, eV/cell: -20.85
Magnetization, μB per formula unit: 0.00

Unit cell a=2.911 b=2.911 c=7.719 alpha=90.00 beta=90.00 gamma=120.00
Positions (direct):
La 0.000 0.000 0.000
Os 0.667 0.333 0.359
Pt 0.333 0.667 0.639